Below is Dy2TcHgC after structural relaxation, with properties calculated at the PBE level.

abc: 3.998 4.997 4.997
angles: 90.00 90.00 90.00
Positions (direct):
1 Tc 0.500 0.000 0.000
2 C 0.000 0.000 0.000
3 Dy 0.000 0.500 0.000
4 Dy 0.000 0.000 0.500
5 Hg 0.500 0.500 0.500

## Properties
Energy of formation from the pure elements   -1.8 eV per formula unit
DOS at the Fermi energy   0.594 states/eV per atom
Energy   -6.18 eV per atom

Below is CuAsO2 after structural relaxation, with properties calculated at the PBE level.

abc: 6.179 6.179 6.179
angles: 30.27 30.27 30.27
Positions (direct):
1 O 0.104 0.104 0.104
2 O 0.896 0.896 0.896
3 As 0.500 0.500 0.500
4 Cu 0.000 0.000 0.000

## Properties
DOS at the Fermi energy   0.000 states/eV per atom
Energy   -5.25 eV per atom